# Lu4Ni13C4

Lu4Ni13C4 after structural relaxation (PBE, the Open Quantum Materials Database).

Output
VASP energy = -6.43 eV per atom

a = 11.6675 Å, b = 11.9509 Å, c = 3.8207 Å
α = 90.00°, β = 90.00°, γ = 90.00°
With the nearest neighbours (Å) after each atom.
Space group Cmmm (No. 65)
One atom of each set of equivalent atoms:
1 Lu 0.0000 0.1862 0.0000 [4 per cell]  8 Ni 2.65-2.93
2 Lu 0.1513 0.5000 0.0000 [4 per cell]  5 Ni 2.62-2.90, 4 C 2.69
3 Ni 0.0000 0.0000 0.5000 [2 per cell]  8 Ni 2.40-2.50
4 Ni 0.1068 0.3226 0.5000 [8 per cell]  2 C 1.88-1.90
5 Ni 0.1242 0.0000 0.0000 [4 per cell]  6 Ni 2.40-2.41, 3 Lu 2.62-2.65
6 Ni 0.1833 0.1079 0.5000 [8 per cell]  1 C 1.87
7 Ni 0.2500 0.2500 0.0000 [4 per cell]  2 C 1.91
8 C 0.0000 0.4430 0.5000 [4 per cell]  1 C 1.36
9 C 0.2500 0.2500 0.5000 [4 per cell]  6 Ni 1.87-1.91



# LiZrPbAu

LiZrPbAu after structural relaxation (PBE, the Open Quantum Materials Database).

Output
ΔE to the lowest computed polymorph = 0.3176 eV/atom
VASP energy = -4.36 eV per atom

a = 6.9018 Å, b = 6.9018 Å, c = 6.9018 Å
α = 90.00°, β = 90.00°, γ = 90.00°
With the nearest neighbours (Å) after each atom.
Space group F-43m (No. 216)
One atom of each set of equivalent atoms:
1 Li 0.0000 0.0000 0.0000 [4 per cell]  4 Zr 2.99, 4 Au 2.99
2 Zr 0.2500 0.2500 0.2500 [4 per cell]  4 Pb 2.99, 4 Li 2.99
3 Pb 0.0000 0.0000 0.5000 [4 per cell]  4 Zr 2.99, 4 Au 2.99
4 Au 0.2500 0.2500 0.7500 [4 per cell]  4 Pb 2.99, 4 Li 2.99